1.
Re3PbW: relaxed, PBE.

abc: 4.805 4.805 4.805
angles: 90.00 90.00 90.00
Space group Pm-3m (No. 221)
Unique sites:
Re  0.000  0.000  0.500
Pb  0.000  0.000  0.000
W  0.500  0.500  0.500

Output
- DFT formation energy: 3.571 eV/atom
- Total moment: 0.02 Bohr magnetons per cell
- N(E_F): 2.989 states/eV per cell
- Energy above the most stable polymorph in this dataset: 1460.7 meV per atom

2.
Ho3ZnSe6: relaxed, PBE.

abc: 11.242 14.042 6.589
angles: 90.00 90.00 90.00
Space group Cmc2_1 (No. 36)
Unique sites:
Ho  0.000  0.111  0.000
Ho  0.177  0.397  0.082
Zn  0.000  0.300  0.632
Se  0.000  0.277  0.266
Se  0.000  0.464  0.778
Se  0.161  0.022  0.291
Se  0.174  0.234  0.812

Output
- Total moment: 0.00 Bohr magnetons per cell
- E_form (uncorrected): -1.45 eV per atom
- N(E_F): 21.925 states/eV per cell

3.
Sr2PtSe2: relaxed, PBE.

abc: 7.873 7.873 4.172
angles: 90.00 90.00 90.00
Space group P4/mbm (No. 127)
Unique sites:
Sr  0.155  0.345  0.000
Pt  0.000  0.000  0.500
Se  0.162  0.662  0.500

Output
- Total moment: 0.00 Bohr magnetons per cell
- E_form (uncorrected): -1.17 eV per atom
- N(E_F): 0.616 states/eV per cell
- Energy above the most stable polymorph in this dataset: 149.2 meV per atom

4.
HgPd14Pt: relaxed, PBE.

abc: 9.242 5.638 9.667
angles: 90.00 90.00 90.00
Space group Amm2 (No. 38)
Unique sites:
Hg  0.000  0.000  0.000
Pd  0.000  0.250  0.250
Pd  0.250  0.000  0.332
Pd  0.252  0.248  0.582
Pd  0.254  0.000  0.830
Pd  0.500  0.000  0.163
Pd  0.500  0.000  0.662
Pd  0.500  0.250  0.412
Pt  0.000  0.000  0.499

Output
- DFT formation energy: -0.003 eV/atom
- Total moment: 0.05 Bohr magnetons per cell
- N(E_F): 71.580 states/eV per cell

5.
Li4HfPd7: relaxed, PBE.

abc: 12.028 4.886 7.630
angles: 90.00 123.85 90.00
Space group C2/m (No. 12)
Unique sites:
Li  0.044  0.000  0.211
Li  0.192  0.000  0.859
Hf  0.000  0.500  0.500
Pd  0.000  0.000  0.500
Pd  0.066  0.500  0.903
Pd  0.220  0.500  0.382
Pd  0.245  0.000  0.217

Output
- DFT formation energy: -0.285 eV/atom
- Total moment: 0.00 Bohr magnetons per cell
- N(E_F): 9.199 states/eV per cell

6.
UPIrN: relaxed, PBE.

abc: 3.886 3.886 7.921
angles: 90.00 90.00 90.00
Space group P4/nmm (No. 129, origin choice 2)
Unique sites:
U  0.250  0.250  0.147
P  0.250  0.250  0.674
Ir  0.250  0.750  0.500
N  0.250  0.750  0.000

Output
- Total moment: 2.07 Bohr magnetons per cell
- E_form (uncorrected): -1.09 eV per atom
- N(E_F): 8.102 states/eV per cell